Entry 1:
VASP calculation (GGA-PBE) on a relaxed structure of CdCuSiAg2.

a b c (Å): 4.811 4.811 4.913
angles (deg): 90.00 90.00 90.00
Positions (direct):
Si: 0.000 0.000 0.000
Cu: 0.500 0.500 0.500
Ag: 0.000 0.500 0.000
Ag: 0.500 0.000 0.000
Cd: 0.000 0.000 0.500

Summary:
E_form (uncorrected)	306	kJ/mol of formula units
SG	P4/mmm

=====

Entry 2:
VASP calculation (GGA-PBE) on a relaxed structure of TiNb2Sn.

a b c (Å): 3.077 3.077 9.624
angles (deg): 80.80 80.80 60.00
Positions (direct):
Ti: 0.500 0.500 0.499
Nb: 0.086 0.086 0.743
Nb: 0.247 0.247 0.258
Sn: 0.667 0.667 0.000

Summary:
energy relative to the elements	0.170	eV/atom
SG	R3m

=====

Entry 3:
VASP calculation (GGA-PBE) on a relaxed structure of MgZnS2.

a b c (Å): 3.939 6.396 6.865
angles (deg): 90.00 89.99 90.02
Positions (direct):
Zn: 0.281 0.353 0.419
Zn: 0.782 0.853 0.580
Mg: 0.780 0.354 0.913
Mg: 0.281 0.854 0.087
S: 0.280 0.470 0.093
S: 0.781 0.970 0.906
S: 0.282 0.982 0.426
S: 0.781 0.482 0.573

Summary:
E_form (uncorrected)	-427	kJ/mol of formula units
SG	Pc

=====

Entry 4:
VASP calculation (GGA-PBE) on a relaxed structure of HfTa2Re2.

a b c (Å): 7.610 7.610 3.147
angles (deg): 90.00 90.00 90.00
Positions (direct):
Re: 0.354 0.854 0.000
Re: 0.854 0.646 0.000
Re: 0.646 0.146 0.000
Re: 0.146 0.354 0.000
Hf: 0.000 0.000 0.000
Hf: 0.500 0.500 0.000
Ta: 0.152 0.652 0.500
Ta: 0.652 0.848 0.500
Ta: 0.848 0.348 0.500
Ta: 0.348 0.152 0.500

Summary:
energy relative to the elements	0.116	eV/atom
polymorph energy (0 for the lowest one)	0.103	eV per atom
SG	P4/mbm

=====

Entry 5:
VASP calculation (GGA-PBE) on a relaxed structure of Pu2BiH2.

a b c (Å): 5.899 5.899 6.625
angles (deg): 103.20 103.20 119.14
Each line ends with the local moment (μB).
Positions (direct):
Pu: 0.172 0.828 0.000  5.37
Pu: 0.828 0.172 0.000  5.37
Pu: 0.078 0.922 0.500  5.37
Pu: 0.422 0.578 0.500  5.37
Bi: 0.500 0.500 0.000  -0.22
Bi: 0.750 0.250 0.500  -0.22
H: 0.878 0.878 0.756  -0.03
H: 0.122 0.122 0.244  -0.03
H: 0.128 0.628 0.256  -0.03
H: 0.372 0.872 0.744  -0.03

Summary:
polymorph energy (0 for the lowest one)	0.000	eV per atom
SG	Fddd

=====

Entry 6:
VASP calculation (GGA-PBE) on a relaxed structure of Mn2CoPt.

a b c (Å): 4.936 4.936 4.078
angles (deg): 65.66 65.66 37.78
Each line ends with the local moment (μB).
Positions (direct):
Co: 0.255 0.255 0.245  1.69
Mn: 0.990 0.990 0.010  3.39
Mn: 0.751 0.751 0.749  3.44
Pt: 0.505 0.505 0.496  0.36

Summary:
energy relative to the elements	-0.043	eV/atom
SG	Imm2

=====

Entry 7:
VASP calculation (GGA-PBE) on a relaxed structure of PrFeCoSi3.

a b c (Å): 5.962 6.033 6.401
angles (deg): 118.11 90.00 90.00
Each line ends with the local moment (μB).
Positions (direct):
Pr: 0.750 0.244 0.489  0.01
Pr: 0.250 0.756 0.511  0.01
Fe: 0.250 0.032 0.064  0.82
Fe: 0.750 0.968 0.936  0.82
Co: 0.250 0.404 0.808  -0.03
Co: 0.750 0.596 0.192  -0.03
Si: 0.250 0.218 0.437  -0.02
Si: 0.000 0.285 0.000  -0.01
Si: 0.500 0.715 0.000  -0.01
Si: 0.500 0.285 0.000  -0.01
Si: 0.000 0.715 0.000  -0.01
Si: 0.750 0.782 0.563  -0.02

Summary:
E_form (uncorrected)	-231	kJ/mol of formula units
SG	Cmcm

=====

Entry 8:
VASP calculation (GGA-PBE) on a relaxed structure of NaHgH.

a b c (Å): 3.177 3.177 6.328
angles (deg): 104.54 104.54 90.00
Positions (direct):
Na: 0.754 0.754 0.509
Hg: 0.021 0.021 0.042
H: 0.225 0.225 0.450

Summary:
polymorph energy (0 for the lowest one)	0.030	eV per atom
SG	I4mm

=====

| no. | total moment (μB/f.u.) |
| --- | --- |
| 1 | 0.00 |
| 2 | 0.00 |
| 3 | 0.00 |
| 4 | 0.00 |
| 5 | 11.00 |
| 6 | 9.06 |
| 7 | 0.73 |
| 8 | 0.00 |